Cd2AgAu: optimized geometry, PBEsol.

Summary:
Formation energy from the elements in eV per atom: -0.1419
Theoretical density in Mg/m³: 12.15
Total moment in μB/atom: 0.0000

The structure in extended XYZ format:
```
4
Lattice="4.6778 0.0000 0.0000 2.3389 4.0511 0.0000 2.3389 1.3504 3.8194" Properties=species:S:1:pos:R:3 pbc="T T T"
Cd 2.3389 1.3504 0.9549
Cd 7.0167 4.0511 2.8646
Au 4.6778 2.7007 1.9097
Ag 0.0000 0.0000 0.0000
```

***

Tl2GaSi2: optimized geometry, PBEsol.

Summary:
Raw formation energy in meV per atom: 244
Theoretical density in Mg/m³: 8.05
Total moment in μB/atom: 0.0001

The structure in extended XYZ format:
```
5
Lattice="3.4617 0.0000 0.0000 0.0000 3.4617 0.0000 -1.7308 -1.7308 9.2019" Properties=species:S:1:pos:R:3 pbc="T T T"
Ga 0.0000 0.0000 0.0000
Tl 1.7308 1.7308 1.9931
Tl 0.0000 0.0000 7.2089
Si 1.7308 0.0000 4.6010
Si 0.0000 1.7308 4.6010
```

***

BaP4Au2: optimized geometry, PBEsol.

Summary:
Formation energy from the elements in eV per atom: -0.4613
Theoretical density in Mg/m³: 7.08
Total moment in μB/atom: 0.0000

The structure in extended XYZ format:
```
14
Lattice="5.4506 0.0866 0.0000 -1.5978 5.2118 0.0000 -1.9264 -2.6492 10.7697" Properties=species:S:1:pos:R:3 pbc="T T T"
P 2.1338 0.9722 3.7210
P 1.7190 4.3262 3.7210
P 2.5179 1.7203 1.6638
P 1.0660 -0.2763 9.1059
P -1.6592 -0.3196 7.0487
P 1.6592 0.3196 7.0487
P 1.3349 3.5782 1.6638
P -1.0660 0.2763 9.1059
Au 0.0000 0.0000 3.4922
Au -0.7989 2.6059 8.8770
Au 1.9264 2.6492 7.2776
Au -0.7989 2.6059 1.8927
Ba -0.7989 2.6059 5.3849
Ba 0.0000 0.0000 0.0000
```